<i>
# NiMoPb PBE optimized geometry
# Calculated volume (Å³/cell): 209
# Crystal system: orthorhombic
data_NiMoPb
_space_group_name_H-M_alt 'F m m 2'
_space_group_IT_number 42
_space_group_name_Hall 'F 2 -2'
_cell_length_a 4.235
_cell_length_b 4.346
_cell_length_c 11.346
_cell_angle_alpha 90.00
_cell_angle_beta 90.00
_cell_angle_gamma 90.00
loop_
_atom_site_label
_atom_site_fract_x
_atom_site_fract_y
_atom_site_fract_z
_atom_site_occupancy
Ni1 0.000 0.000 0.000 1
Mo1 0.000 0.000 0.627 1
Pb1 0.000 0.000 0.324 1


<ii>
# NiMoPb PBE optimized geometry
# Calculated volume (Å³/cell): 224
# Crystal system: cubic
data_NiMoPb
_space_group_name_H-M_alt 'F -4 3 m'
_space_group_IT_number 216
_space_group_name_Hall 'F -4 2 3'
_cell_length_a 6.070
_cell_length_b 6.070
_cell_length_c 6.070
_cell_angle_alpha 90.00
_cell_angle_beta 90.00
_cell_angle_gamma 90.00
loop_
_atom_site_label
_atom_site_fract_x
_atom_site_fract_y
_atom_site_fract_z
_atom_site_occupancy
Ni1 0.000 0.000 0.000 1
Mo1 0.250 0.250 0.750 1
Pb1 0.250 0.250 0.250 1


Quick one: most stable of them? <i>


<i>
# NiMo3Pb PBE optimized geometry
# Calculated volume (Å³/cell): 95
# Crystal system: cubic
data_NiMo3Pb
_space_group_name_H-M_alt 'P m -3 m'
_space_group_IT_number 221
_space_group_name_Hall '-P 4 2 3'
_cell_length_a 4.555
_cell_length_b 4.555
_cell_length_c 4.555
_cell_angle_alpha 90.00
_cell_angle_beta 90.00
_cell_angle_gamma 90.00
loop_
_atom_site_label
_atom_site_fract_x
_atom_site_fract_y
_atom_site_fract_z
_atom_site_occupancy
Ni1 0.000 0.000 0.000 1
Mo1 0.000 0.000 0.500 1
Pb1 0.500 0.500 0.500 1


<ii>
# NiMo3Pb PBE optimized geometry
# Calculated volume (Å³/cell): 123
# Crystal system: cubic
data_NiMo3Pb
_space_group_name_H-M_alt 'P m -3 m'
_space_group_IT_number 221
_space_group_name_Hall '-P 4 2 3'
_cell_length_a 4.977
_cell_length_b 4.977
_cell_length_c 4.977
_cell_angle_alpha 90.00
_cell_angle_beta 90.00
_cell_angle_gamma 90.00
loop_
_atom_site_label
_atom_site_fract_x
_atom_site_fract_y
_atom_site_fract_z
_atom_site_occupancy
Ni1 0.000 0.000 0.000 1
Mo1 0.000 0.500 0.500 1
Pb1 0.500 0.500 0.500 1


Quick one: most stable of them? <i>


<i>
# Ni2MoPd2 PBE optimized geometry
# Calculated volume (Å³/cell): 140
# Crystal system: tetragonal
data_Ni2MoPd2
_space_group_name_H-M_alt 'P 4/m b m'
_space_group_IT_number 127
_space_group_name_Hall '-P 4 2ab'
_cell_length_a 7.202
_cell_length_b 7.202
_cell_length_c 2.702
_cell_angle_alpha 90.00
_cell_angle_beta 90.00
_cell_angle_gamma 90.00
loop_
_atom_site_label
_atom_site_fract_x
_atom_site_fract_y
_atom_site_fract_z
_atom_site_occupancy
Ni1 0.166 0.334 0.000 1
Mo1 0.000 0.000 0.500 1
Pd1 0.133 0.633 0.500 1


<ii>
# Ni2MoPd2 PBE optimized geometry
# Calculated volume (Å³/cell): 138
# Crystal system: tetragonal
data_Ni2MoPd2
_space_group_name_H-M_alt 'P 4/m b m'
_space_group_IT_number 127
_space_group_name_Hall '-P 4 2ab'
_cell_length_a 6.946
_cell_length_b 6.946
_cell_length_c 2.863
_cell_angle_alpha 90.00
_cell_angle_beta 90.00
_cell_angle_gamma 90.00
loop_
_atom_site_label
_atom_site_fract_x
_atom_site_fract_y
_atom_site_fract_z
_atom_site_occupancy
Ni1 0.129 0.371 0.000 1
Mo1 0.000 0.000 0.000 1
Pd1 0.168 0.668 0.500 1


Quick one: most stable of them? <ii>


<i>
# Ni2Mo2Pd PBE optimized geometry
# Calculated volume (Å³/cell): 144
# Crystal system: tetragonal
data_Ni2Mo2Pd
_space_group_name_H-M_alt 'P 4/m b m'
_space_group_IT_number 127
_space_group_name_Hall '-P 4 2ab'
_cell_length_a 7.387
_cell_length_b 7.387
_cell_length_c 2.635
_cell_angle_alpha 90.00
_cell_angle_beta 90.00
_cell_angle_gamma 90.00
loop_
_atom_site_label
_atom_site_fract_x
_atom_site_fract_y
_atom_site_fract_z
_atom_site_occupancy
Ni1 0.168 0.332 0.000 1
Mo1 0.127 0.627 0.500 1
Pd1 0.000 0.000 0.500 1


<ii>
# Ni2Mo2Pd PBE optimized geometry
# Calculated volume (Å³/cell): 139
# Crystal system: tetragonal
data_Ni2Mo2Pd
_space_group_name_H-M_alt 'P 4/m b m'
_space_group_IT_number 127
_space_group_name_Hall '-P 4 2ab'
_cell_length_a 7.135
_cell_length_b 7.135
_cell_length_c 2.729
_cell_angle_alpha 90.00
_cell_angle_beta 90.00
_cell_angle_gamma 90.00
loop_
_atom_site_label
_atom_site_fract_x
_atom_site_fract_y
_atom_site_fract_z
_atom_site_occupancy
Ni1 0.121 0.379 0.000 1
Mo1 0.174 0.674 0.500 1
Pd1 0.000 0.000 0.000 1


Quick one: most stable of them? <ii>


<i>
# NiMo2Pt PBE optimized geometry
# Calculated volume (Å³/cell): 59
# Crystal system: tetragonal
data_NiMo2Pt
_space_group_name_H-M_alt 'P 4 m m'
_space_group_IT_number 99
_space_group_name_Hall 'P 4 -2'
_cell_length_a 3.221
_cell_length_b 3.221
_cell_length_c 5.666
_cell_angle_alpha 90.00
_cell_angle_beta 90.00
_cell_angle_gamma 90.00
loop_
_atom_site_label
_atom_site_fract_x
_atom_site_fract_y
_atom_site_fract_z
_atom_site_occupancy
Ni1 0.000 0.000 0.000 1
Mo1 0.000 0.000 0.512 1
Mo2 0.500 0.500 0.776 1
Pt1 0.500 0.500 0.242 1


<ii>
# NiMo2Pt PBE optimized geometry
# Calculated volume (Å³/cell): 58
# Crystal system: tetragonal
data_NiMo2Pt
_space_group_name_H-M_alt 'P 4 m m'
_space_group_IT_number 99
_space_group_name_Hall 'P 4 -2'
_cell_length_a 2.712
_cell_length_b 2.712
_cell_length_c 7.936
_cell_angle_alpha 90.00
_cell_angle_beta 90.00
_cell_angle_gamma 90.00
loop_
_atom_site_label
_atom_site_fract_x
_atom_site_fract_y
_atom_site_fract_z
_atom_site_occupancy
Ni1 0.000 0.000 0.000 1
Mo1 0.000 0.000 0.494 1
Mo2 0.500 0.500 0.779 1
Pt1 0.500 0.500 0.243 1


<iii>
# NiMo2Pt PBE optimized geometry
# Calculated volume (Å³/cell): 116
# Crystal system: tetragonal
data_NiMo2Pt
_space_group_name_H-M_alt 'I 4/m m m'
_space_group_IT_number 139
_space_group_name_Hall '-I 4 2'
_cell_length_a 3.769
_cell_length_b 3.769
_cell_length_c 8.151
_cell_angle_alpha 90.00
_cell_angle_beta 90.00
_cell_angle_gamma 90.00
loop_
_atom_site_label
_atom_site_fract_x
_atom_site_fract_y
_atom_site_fract_z
_atom_site_occupancy
Ni1 0.000 0.000 0.000 1
Mo1 0.000 0.500 0.250 1
Pt1 0.000 0.000 0.500 1


<iv>
# NiMo2Pt PBE optimized geometry
# Calculated volume (Å³/cell): 58
# Crystal system: monoclinic
data_NiMo2Pt
_space_group_name_H-M_alt 'P 1 2/m 1'
_space_group_IT_number 10
_space_group_name_Hall '-P 2y'
_cell_length_a 2.695
_cell_length_b 3.999
_cell_length_c 5.375
_cell_angle_alpha 90.00
_cell_angle_beta 90.49
_cell_angle_gamma 90.00
loop_
_atom_site_label
_atom_site_fract_x
_atom_site_fract_y
_atom_site_fract_z
_atom_site_occupancy
Ni1 0.000 0.000 0.000 1
Mo1 0.495 0.500 0.234 1
Pt1 0.000 0.000 0.500 1


Quick one: most stable of them? <iv>


<i>
# NiMo2Pt PBE optimized geometry
# Calculated volume (Å³/cell): 235
# Crystal system: cubic
data_NiMo2Pt
_space_group_name_H-M_alt 'F -4 3 m'
_space_group_IT_number 216
_space_group_name_Hall 'F -4 2 3'
_cell_length_a 6.174
_cell_length_b 6.174
_cell_length_c 6.174
_cell_angle_alpha 90.00
_cell_angle_beta 90.00
_cell_angle_gamma 90.00
loop_
_atom_site_label
_atom_site_fract_x
_atom_site_fract_y
_atom_site_fract_z
_atom_site_occupancy
Ni1 0.000 0.000 0.000 1
Mo1 0.000 0.000 0.500 1
Mo2 0.250 0.250 0.250 1
Pt1 0.250 0.250 0.750 1


<ii>
# NiMo2Pt PBE optimized geometry
# Calculated volume (Å³/cell): 117
# Crystal system: monoclinic
data_NiMo2Pt
_space_group_name_H-M_alt 'C 1 m 1'
_space_group_IT_number 8
_space_group_name_Hall 'C -2y'
_cell_length_a 8.946
_cell_length_b 2.695
_cell_length_c 4.905
_cell_angle_alpha 90.00
_cell_angle_beta 98.10
_cell_angle_gamma 90.00
loop_
_atom_site_label
_atom_site_fract_x
_atom_site_fract_y
_atom_site_fract_z
_atom_site_occupancy
Ni1 0.000 0.000 0.000 1
Mo1 0.000 0.500 0.502 1
Mo2 0.257 0.000 0.784 1
Pt1 0.251 0.500 0.259 1


<iii>
# NiMo2Pt PBE optimized geometry
# Calculated volume (Å³/cell): 176
# Crystal system: trigonal
data_NiMo2Pt
_space_group_name_H-M_alt 'R -3 m'
_space_group_IT_number 166
_space_group_name_Hall '-R 3 2"'
_cell_length_a 2.7377
_cell_length_b 2.7377
_cell_length_c 27.1206
_cell_angle_alpha 90.00
_cell_angle_beta 90.00
_cell_angle_gamma 120.00
loop_
_atom_site_label
_atom_site_fract_x
_atom_site_fract_y
_atom_site_fract_z
_atom_site_occupancy
Ni1 0.0000 0.0000 0.0000 1
Mo1 0.0000 0.0000 0.2538 1
Pt1 0.0000 0.0000 0.5000 1


Quick one: most stable of them? <ii>


<i>
# NiMo2Pt PBE optimized geometry
# Calculated volume (Å³/cell): 60
# Crystal system: tetragonal
data_NiMo2Pt
_space_group_name_H-M_alt 'P 4/m m m'
_space_group_IT_number 123
_space_group_name_Hall '-P 4 2'
_cell_length_a 3.314
_cell_length_b 3.314
_cell_length_c 5.427
_cell_angle_alpha 90.00
_cell_angle_beta 90.00
_cell_angle_gamma 90.00
loop_
_atom_site_label
_atom_site_fract_x
_atom_site_fract_y
_atom_site_fract_z
_atom_site_occupancy
Ni1 0.000 0.000 0.000 1
Mo1 0.500 0.500 0.220 1
Pt1 0.000 0.000 0.500 1


<ii>
# NiMo2Pt PBE optimized geometry
# Calculated volume (Å³/cell): 58
# Crystal system: orthorhombic
data_NiMo2Pt
_space_group_name_H-M_alt 'P m m 2'
_space_group_IT_number 25
_space_group_name_Hall 'P 2 -2'
_cell_length_a 2.711
_cell_length_b 4.395
_cell_length_c 4.865
_cell_angle_alpha 90.00
_cell_angle_beta 90.00
_cell_angle_gamma 90.00
loop_
_atom_site_label
_atom_site_fract_x
_atom_site_fract_y
_atom_site_fract_z
_atom_site_occupancy
Ni1 0.000 0.000 0.000 1
Mo1 0.500 0.000 0.493 1
Mo2 0.500 0.500 0.161 1
Pt1 0.000 0.500 0.678 1


<iii>
# NiMo2Pt PBE optimized geometry
# Calculated volume (Å³/cell): 116
# Crystal system: monoclinic
data_NiMo2Pt
_space_group_name_H-M_alt 'C 1 2/m 1'
_space_group_IT_number 12
_space_group_name_Hall '-C 2y'
_cell_length_a 5.340
_cell_length_b 8.091
_cell_length_c 2.691
_cell_angle_alpha 90.00
_cell_angle_beta 90.22
_cell_angle_gamma 90.00
loop_
_atom_site_label
_atom_site_fract_x
_atom_site_fract_y
_atom_site_fract_z
_atom_site_occupancy
Ni1 0.000 0.000 0.000 1
Mo1 0.250 0.250 0.500 1
Pt1 0.000 0.500 0.000 1


Quick one: most stable of them? <ii>


<i>
# NiMo2Pt PBE optimized geometry
# Calculated volume (Å³/cell): 117
# Crystal system: tetragonal
data_NiMo2Pt
_space_group_name_H-M_alt 'I -4 m 2'
_space_group_IT_number 119
_space_group_name_Hall 'I -4 -2'
_cell_length_a 3.927
_cell_length_b 3.927
_cell_length_c 7.580
_cell_angle_alpha 90.00
_cell_angle_beta 90.00
_cell_angle_gamma 90.00
loop_
_atom_site_label
_atom_site_fract_x
_atom_site_fract_y
_atom_site_fract_z
_atom_site_occupancy
Ni1 0.000 0.000 0.000 1
Mo1 0.000 0.000 0.500 1
Mo2 0.000 0.500 0.750 1
Pt1 0.000 0.500 0.250 1


<ii>
# NiMo2Pt PBE optimized geometry
# Calculated volume (Å³/cell): 115
# Crystal system: orthorhombic
data_NiMo2Pt
_space_group_name_H-M_alt 'P m m n'
_space_group_IT_number 59
_cell_length_a 4.417
_cell_length_b 5.366
_cell_length_c 4.868
_cell_angle_alpha 90.00
_cell_angle_beta 90.00
_cell_angle_gamma 90.00
loop_
_space_group_symop_operation_xyz
'x,y,z'
'-x,-y,-z'
'-x+1/2,-y+1/2,z'
'x+1/2,y+1/2,-z'
'x+1/2,-y,-z'
'-x+1/2,y,z'
'-x,y+1/2,-z'
'x,-y+1/2,z'
loop_
_atom_site_label
_atom_site_fract_x
_atom_site_fract_y
_atom_site_fract_z
_atom_site_occupancy
Ni1 0.250 0.250 0.166 1
Mo1 0.250 0.002 0.666 1
Pt1 0.250 0.750 0.151 1


Quick one: most stable of them? <ii>


<i>
# NiMo2Pt PBE optimized geometry
# Calculated volume (Å³/cell): 58
# Crystal system: tetragonal
data_NiMo2Pt
_space_group_name_H-M_alt 'P 4/m m m'
_space_group_IT_number 123
_space_group_name_Hall '-P 4 2'
_cell_length_a 3.780
_cell_length_b 3.780
_cell_length_c 4.052
_cell_angle_alpha 90.00
_cell_angle_beta 90.00
_cell_angle_gamma 90.00
loop_
_atom_site_label
_atom_site_fract_x
_atom_site_fract_y
_atom_site_fract_z
_atom_site_occupancy
Ni1 0.000 0.000 0.000 1
Mo1 0.000 0.500 0.500 1
Pt1 0.500 0.500 0.000 1


<ii>
# NiMo2Pt PBE optimized geometry
# Calculated volume (Å³/cell): 239
# Crystal system: cubic
data_NiMo2Pt
_space_group_name_H-M_alt 'F m -3 m'
_space_group_IT_number 225
_space_group_name_Hall '-F 4 2 3'
_cell_length_a 6.206
_cell_length_b 6.206
_cell_length_c 6.206
_cell_angle_alpha 90.00
_cell_angle_beta 90.00
_cell_angle_gamma 90.00
loop_
_atom_site_label
_atom_site_fract_x
_atom_site_fract_y
_atom_site_fract_z
_atom_site_occupancy
Ni1 0.000 0.000 0.000 1
Mo1 0.250 0.250 0.250 1
Pt1 0.000 0.000 0.500 1


Quick one: most stable of them? <i>


<i>
# NiMo2Pt PBE optimized geometry
# Calculated volume (Å³/cell): 117
# Crystal system: monoclinic
data_NiMo2Pt
_space_group_name_H-M_alt 'C 1 2/m 1'
_space_group_IT_number 12
_space_group_name_Hall '-C 2y'
_cell_length_a 9.250
_cell_length_b 2.860
_cell_length_c 4.523
_cell_angle_alpha 90.00
_cell_angle_beta 101.63
_cell_angle_gamma 90.00
loop_
_atom_site_label
_atom_site_fract_x
_atom_site_fract_y
_atom_site_fract_z
_atom_site_occupancy
Ni1 0.000 0.000 0.000 1
Mo1 0.248 0.500 0.243 1
Pt1 0.000 0.500 0.500 1


<ii>
# NiMo2Pt PBE optimized geometry
# Calculated volume (Å³/cell): 249
# Crystal system: tetragonal
data_NiMo2Pt
_space_group_name_H-M_alt 'I -4 2 d'
_space_group_IT_number 122
_space_group_name_Hall 'I -4 2bw'
_cell_length_a 7.002
_cell_length_b 7.002
_cell_length_c 5.088
_cell_angle_alpha 90.00
_cell_angle_beta 90.00
_cell_angle_gamma 90.00
loop_
_atom_site_label
_atom_site_fract_x
_atom_site_fract_y
_atom_site_fract_z
_atom_site_occupancy
Ni1 0.000 0.000 0.000 1
Mo1 0.214 0.750 0.125 1
Pt1 0.000 0.000 0.500 1


Quick one: most stable of them? <i>


<i>
# Ni4MoPt2 PBE optimized geometry
# Calculated volume (Å³/cell): 236
# Crystal system: tetragonal
data_Ni4MoPt2
_space_group_name_H-M_alt 'I 4/m m m'
_space_group_IT_number 139
_space_group_name_Hall '-I 4 2'
_cell_length_a 4.403
_cell_length_b 4.403
_cell_length_c 12.181
_cell_angle_alpha 90.00
_cell_angle_beta 90.00
_cell_angle_gamma 90.00
loop_
_atom_site_label
_atom_site_fract_x
_atom_site_fract_y
_atom_site_fract_z
_atom_site_occupancy
Ni1 0.000 0.000 0.186 1
Ni2 0.000 0.500 0.000 1
Mo1 0.000 0.000 0.000 1
Pt1 0.000 0.000 0.386 1


<ii>
# Ni4MoPt2 PBE optimized geometry
# Calculated volume (Å³/cell): 199
# Crystal system: tetragonal
data_Ni4MoPt2
_space_group_name_H-M_alt 'I 4/m m m'
_space_group_IT_number 139
_space_group_name_Hall '-I 4 2'
_cell_length_a 4.614
_cell_length_b 4.614
_cell_length_c 9.366
_cell_angle_alpha 90.00
_cell_angle_beta 90.00
_cell_angle_gamma 90.00
loop_
_atom_site_label
_atom_site_fract_x
_atom_site_fract_y
_atom_site_fract_z
_atom_site_occupancy
Ni1 0.000 0.500 0.000 1
Ni2 0.000 0.500 0.250 1
Mo1 0.000 0.000 0.000 1
Pt1 0.000 0.000 0.357 1


Quick one: most stable of them? <ii>